Record 1
DFT (PBEsol) results for a relaxed structure of Be2CoSi.

Calculated values
Raw formation energy in eV per atom: -0.248

a b c (Å): 2.845 2.845 4.636
angles (deg): 90.00 90.00 90.00
Fractional positions:
Be 0.000 0.000 0.231
Be 0.000 0.000 0.769
Si 0.500 0.500 0.500
Co 0.500 0.500 0.000


Record 2
DFT (PBEsol) results for a relaxed structure of LiBeAu2.

Calculated values
ΔE_f in eV per atom: 0.04

a b c (Å): 3.849 3.849 8.684
angles (deg): 102.81 102.81 90.00
Fractional positions:
Au 0.625 0.632 0.750
Au 0.882 0.375 0.250
Li 0.750 0.250 0.500
Au 0.125 0.118 0.750
Be 0.000 0.000 0.000
Li 0.500 0.500 0.000
Be 0.250 0.750 0.500
Au 0.368 0.875 0.250


Electronic total energy for every record listed, in sequence, given in eV/atom: -5.6186, -3.4178.